! TiNb3Sn GGA-PBE relaxed; values from VASP
! **Energy above the lowest structure with this stoichiometry**: 226 meV/atom
! **DFT total energy**: -8.302 eV/atom
! **DFT formation energy**: 11.6 kJ/mol of atoms
&SYSTEM
  ibrav = 0, nat = 20, ntyp = 3
/
ATOMIC_SPECIES
Ti 47.87 Ti.upf
Nb 92.91 Nb.upf
Sn 118.71 Sn.upf
CELL_PARAMETERS angstrom
-3.643 -1.585 3.270
3.900 -0.918 3.901
-1.474 12.493 4.415
ATOMIC_POSITIONS crystal
Ti 0.250 0.250 0.051
Ti 0.750 0.750 0.949
Ti 0.250 0.750 0.449
Ti 0.750 0.250 0.551
Nb 0.250 0.250 0.453
Nb 0.750 0.750 0.547
Nb 0.250 0.750 0.047
Nb 0.750 0.250 0.953
Nb 0.775 0.499 0.142
Nb 0.225 0.501 0.858
Nb 0.775 0.501 0.358
Nb 0.725 0.999 0.358
Nb 0.225 0.499 0.642
Nb 0.275 0.001 0.642
Nb 0.725 0.001 0.142
Nb 0.275 0.999 0.858
Sn 0.293 0.500 0.250
Sn 0.707 0.500 0.750
Sn 0.207 0.000 0.250
Sn 0.793 0.000 0.750


! TiNb3Sn GGA-PBE relaxed; values from VASP
! **Energy above the lowest structure with this stoichiometry**: 0 meV/atom
! **DFT total energy**: -8.527 eV/atom
! **DFT formation energy**: -10.2 kJ/mol of atoms
&SYSTEM
  ibrav = 0, nat = 20, ntyp = 3
/
ATOMIC_SPECIES
Ti 47.87 Ti.upf
Nb 92.91 Nb.upf
Sn 118.71 Sn.upf
CELL_PARAMETERS angstrom
-7.139 3.800 -1.412
-5.722 -4.369 1.062
-2.764 3.028 6.012
ATOMIC_POSITIONS crystal
Ti 0.845 0.489 0.738
Ti 0.655 0.262 0.511
Ti 0.155 0.511 0.262
Ti 0.345 0.738 0.489
Nb 0.657 0.766 0.018
Nb 0.843 0.982 0.234
Nb 0.343 0.234 0.982
Nb 0.157 0.018 0.766
Nb 0.956 0.314 0.071
Nb 0.544 0.929 0.686
Nb 0.044 0.686 0.929
Nb 0.456 0.071 0.314
Nb 0.456 0.565 0.823
Nb 0.044 0.177 0.435
Nb 0.544 0.435 0.177
Nb 0.956 0.823 0.565
Sn 0.250 0.870 0.130
Sn 0.750 0.130 0.870
Sn 0.250 0.380 0.620
Sn 0.750 0.620 0.380


! TiNbSn2 GGA-PBE relaxed; values from VASP
! **Energy above the lowest structure with this stoichiometry**: 258 meV/atom
! **DFT total energy**: -6.285 eV/atom
! **DFT formation energy**: 20.0 kJ/mol of atoms
&SYSTEM
  ibrav = 0, nat = 8, ntyp = 3
/
ATOMIC_SPECIES
Nb 92.91 Nb.upf
Sn 118.71 Sn.upf
Ti 47.87 Ti.upf
CELL_PARAMETERS angstrom
-4.774 0.222 -5.889
2.366 -6.869 -2.177
-3.344 -4.595 -2.346
ATOMIC_POSITIONS crystal
Nb 0.000 0.000 0.000
Nb 0.750 0.250 0.500
Sn 0.620 0.125 0.250
Sn 0.130 0.625 0.250
Sn 0.375 0.380 0.750
Sn 0.875 0.870 0.750
Ti 0.500 0.500 0.000
Ti 0.250 0.750 0.500


! Ti7Nb2Sn2 GGA-PBE relaxed; values from VASP
! **DFT total energy**: -7.663 eV/atom
! **DFT formation energy**: -7.7 kJ/mol of atoms
&SYSTEM
  ibrav = 0, nat = 11, ntyp = 3
/
ATOMIC_SPECIES
Ti 47.87 Ti.upf
Nb 92.91 Nb.upf
Sn 118.71 Sn.upf
CELL_PARAMETERS angstrom
7.024 0.796 1.148
0.261 5.549 0.254
0.261 -1.710 5.285
ATOMIC_POSITIONS crystal
Ti 0.163 0.102 0.493
Ti 0.837 0.507 0.898
Ti 0.837 0.898 0.507
Ti 0.163 0.493 0.102
Ti 0.000 0.000 0.000
Ti 0.432 0.838 0.838
Ti 0.568 0.162 0.162
Nb 0.826 0.395 0.395
Nb 0.174 0.605 0.605
Sn 0.500 0.287 0.713
Sn 0.500 0.713 0.287


! Ti5Nb2Sn GGA-PBE relaxed; values from VASP
! **DFT total energy**: -7.921 eV/atom
! **DFT formation energy**: 3.0 kJ/mol of atoms
&SYSTEM
  ibrav = 0, nat = 16, ntyp = 3
/
ATOMIC_SPECIES
Ti 47.87 Ti.upf
Nb 92.91 Nb.upf
Sn 118.71 Sn.upf
CELL_PARAMETERS angstrom
-5.211 3.480 -3.374
0.264 -4.743 -5.299
-1.425 -2.595 7.030
ATOMIC_POSITIONS crystal
Ti 0.484 0.697 0.681
Ti 0.803 0.016 0.319
Ti 0.000 0.000 0.000
Ti 0.500 0.500 0.000
Ti 0.197 0.984 0.681
Ti 0.697 0.197 0.681
Ti 0.984 0.484 0.681
Ti 0.303 0.803 0.319
Ti 0.016 0.516 0.319
Ti 0.516 0.303 0.319
Nb 0.160 0.340 0.000
Nb 0.660 0.160 0.000
Nb 0.340 0.840 0.000
Nb 0.840 0.660 0.000
Sn 0.750 0.750 0.500
Sn 0.250 0.250 0.500


! Ti4NbSn GGA-PBE relaxed; values from VASP
! **Energy above the lowest structure with this stoichiometry**: 0 meV/atom
! **DFT total energy**: -7.669 eV/atom
! **DFT formation energy**: -5.8 kJ/mol of atoms
&SYSTEM
  ibrav = 0, nat = 6, ntyp = 3
/
ATOMIC_SPECIES
Ti 47.87 Ti.upf
Nb 92.91 Nb.upf
Sn 118.71 Sn.upf
CELL_PARAMETERS angstrom
-2.390 0.838 1.597
2.550 -1.048 7.172
3.271 3.960 -0.001
ATOMIC_POSITIONS crystal
Ti 0.673 0.668 0.013
Ti 0.327 0.332 0.987
Ti 0.157 0.165 0.479
Ti 0.843 0.835 0.521
Nb 0.000 0.000 0.000
Sn 0.500 0.500 0.500


! TiNb2Sn2 GGA-PBE relaxed; values from VASP
! **DFT total energy**: -7.282 eV/atom
! **DFT formation energy**: -7.1 kJ/mol of atoms
&SYSTEM
  ibrav = 0, nat = 10, ntyp = 3
/
ATOMIC_SPECIES
Nb 92.91 Nb.upf
Sn 118.71 Sn.upf
Ti 47.87 Ti.upf
CELL_PARAMETERS angstrom
7.283 0.000 0.000
0.000 7.283 0.000
0.000 0.000 3.759
ATOMIC_POSITIONS crystal
Nb 0.163 0.663 0.500
Nb 0.663 0.837 0.500
Nb 0.837 0.337 0.500
Nb 0.337 0.163 0.500
Sn 0.360 0.860 0.000
Sn 0.860 0.640 0.000
Sn 0.640 0.140 0.000
Sn 0.140 0.360 0.000
Ti 0.000 0.000 0.000
Ti 0.500 0.500 0.000


! Ti3NbSn3 GGA-PBE relaxed; values from VASP
! **Energy above the lowest structure with this stoichiometry**: 0 meV/atom
! **DFT total energy**: -6.646 eV/atom
! **DFT formation energy**: -10.5 kJ/mol of atoms
&SYSTEM
  ibrav = 0, nat = 14, ntyp = 3
/
ATOMIC_SPECIES
Ti 47.87 Ti.upf
Nb 92.91 Nb.upf
Sn 118.71 Sn.upf
CELL_PARAMETERS angstrom
-3.357 -3.510 1.003
5.787 -4.774 2.666
-3.692 4.963 5.013
ATOMIC_POSITIONS crystal
Ti 0.250 0.807 0.772
Ti 0.250 0.228 0.035
Ti 0.250 0.965 0.193
Ti 0.750 0.193 0.228
Ti 0.750 0.772 0.965
Ti 0.750 0.035 0.807
Nb 0.250 0.667 0.333
Nb 0.750 0.333 0.667
Sn 0.750 0.632 0.551
Sn 0.750 0.449 0.081
Sn 0.750 0.919 0.368
Sn 0.250 0.368 0.449
Sn 0.250 0.551 0.919
Sn 0.250 0.081 0.632


! Ti3NbSn GGA-PBE relaxed; values from VASP
! **Energy above the lowest structure with this stoichiometry**: 0 meV/atom
! **DFT total energy**: -7.682 eV/atom
! **DFT formation energy**: -12.6 kJ/mol of atoms
&SYSTEM
  ibrav = 0, nat = 10, ntyp = 3
/
ATOMIC_SPECIES
Ti 47.87 Ti.upf
Nb 92.91 Nb.upf
Sn 118.71 Sn.upf
CELL_PARAMETERS angstrom
4.427 0.000 -1.712
-0.763 5.291 -1.971
0.204 1.348 7.105
ATOMIC_POSITIONS crystal
Ti 0.309 0.301 0.618
Ti 0.691 0.699 0.382
Ti 0.306 0.773 0.612
Ti 0.694 0.227 0.388
Ti 0.102 0.454 0.203
Ti 0.898 0.546 0.797
Nb 0.496 0.734 0.993
Nb 0.504 0.266 0.007
Sn 0.884 0.046 0.769
Sn 0.116 0.954 0.231


! UTiNbSn GGA-PBE relaxed; values from VASP
! **DFT total energy**: -8.258 eV/atom
! **DFT formation energy**: 5.4 kJ/mol of atoms
&SYSTEM
  ibrav = 0, nat = 4, ntyp = 4
/
ATOMIC_SPECIES
Nb 92.91 Nb.upf
U 238.03 U.upf
Sn 118.71 Sn.upf
Ti 47.87 Ti.upf
CELL_PARAMETERS angstrom
-4.002 2.240 -1.473
-4.091 -2.484 -0.537
-3.649 0.678 3.070
ATOMIC_POSITIONS crystal
Nb 0.750 0.750 0.750
U 0.500 0.500 0.500
Sn 0.000 0.000 0.000
Ti 0.250 0.250 0.250


! TiNbVSn GGA-PBE relaxed; values from VASP
! **DFT total energy**: -7.935 eV/atom
! **DFT formation energy**: -15.8 kJ/mol of atoms
&SYSTEM
  ibrav = 0, nat = 4, ntyp = 4
/
ATOMIC_SPECIES
Nb 92.91 Nb.upf
Ti 47.87 Ti.upf
Sn 118.71 Sn.upf
V 50.94 V.upf
CELL_PARAMETERS angstrom
-1.417 1.533 -4.103
-1.394 -2.985 -3.216
-4.455 -0.246 -1.136
ATOMIC_POSITIONS crystal
Nb 0.750 0.750 0.750
Ti 0.000 0.000 0.000
Sn 0.250 0.250 0.250
V 0.500 0.500 0.500


! YTiNbSn2 GGA-PBE relaxed; values from VASP
! **Energy above the lowest structure with this stoichiometry**: 0 meV/atom
! **DFT total energy**: -6.207 eV/atom
! **DFT formation energy**: 27.0 kJ/mol of atoms
&SYSTEM
  ibrav = 0, nat = 5, ntyp = 4
/
ATOMIC_SPECIES
Y 88.91 Y.upf
Nb 92.91 Nb.upf
Sn 118.71 Sn.upf
Ti 47.87 Ti.upf
CELL_PARAMETERS angstrom
-2.224 -0.485 4.692
1.789 -4.322 0.401
4.278 1.978 2.232
ATOMIC_POSITIONS crystal
Y 0.500 0.500 0.500
Nb 0.000 0.500 0.000
Sn 0.000 0.000 0.500
Sn 0.500 0.000 0.000
Ti 0.000 0.000 0.000


- The lowest DFT total energy belongs to which entry?
  number 2